4
Lattice="0.000 3.169 3.169 3.169 0.000 3.169 3.169 3.169 0.000" Properties=species:S:1:pos:R:3 comment="Cr2PdF, relaxed, DFT GGA+U" volume_a3_per_atom=15.9 polymorph_energy_ev_per_atom=0.179 energy_ev_per_cell=-22.74 space_group="No. 225" pbc="T T T"
Cr 1.584 1.584 1.584
Cr 4.753 4.753 4.753
Pd 0.000 0.000 0.000
F 3.169 3.169 3.169